# GGA-PBE NbTcN2, optimized geometry
# Polymorph energy (0 for the lowest one)   0.000 eV/atom
# E_form (uncorrected)   -0.26 eV/atom
# Calculated volume   206 Å³ per cell
data_NbTcN2
_cell_length_a 4.537
_cell_length_b 4.537
_cell_length_c 10.006
_cell_angle_alpha 90.00
_cell_angle_beta 90.00
_cell_angle_gamma 90.00
_space_group_name_H-M_alt 'P 1'
_space_group_IT_number 1
loop_
_space_group_symop_operation_xyz
'x,y,z'
loop_
_atom_site_label
_atom_site_type_symbol
_atom_site_fract_x
_atom_site_fract_y
_atom_site_fract_z
_atom_site_occupancy
Nb1 Nb 0.000 0.000 0.000 1
Nb2 Nb 0.000 0.500 0.250 1
Nb3 Nb 0.500 0.000 0.750 1
Nb4 Nb 0.500 0.500 0.500 1
Tc1 Tc 0.000 0.000 0.500 1
Tc2 Tc 0.000 0.500 0.750 1
Tc3 Tc 0.500 0.000 0.250 1
Tc4 Tc 0.500 0.500 0.000 1
N1 N 0.238 0.250 0.625 1
N2 N 0.250 0.738 0.875 1
N3 N 0.250 0.762 0.375 1
N4 N 0.262 0.250 0.125 1
N5 N 0.738 0.750 0.125 1
N6 N 0.750 0.238 0.375 1
N7 N 0.750 0.262 0.875 1
N8 N 0.762 0.750 0.625 1